# 1
This record from the Alexandria database describes crystalline Ac3Al2CdO9 at its relaxed geometry. The functional is PBE-GGA.

Calculated values
The calculation puts the raw formation energy at -266.1 kJ per mole of atoms.

Cell: 5.621 5.621 7.024 Å, 90.00 90.00 120.00°
Positions (direct):
Ac  0.333  0.667  0.669
Ac  0.000  0.000  0.000
Ac  0.667  0.333  0.331
Al  0.333  0.667  0.152
Al  0.667  0.333  0.848
Cd  0.000  0.000  0.500
O  0.822  0.178  0.685
O  0.822  0.643  0.685
O  0.357  0.178  0.685
O  0.643  0.822  0.315
O  0.178  0.357  0.315
O  0.178  0.822  0.315
O  0.500  0.000  0.000
O  0.000  0.500  0.000
O  0.500  0.500  0.000

# 2
This record from the Alexandria database describes crystalline Ac2AlCdO6 at its relaxed geometry. The functional is PBE-GGA.

Calculated values
The calculation puts the raw formation energy at -241.9 kJ per mole of atoms.

Cell: 4.568 5.617 5.617 Å, 90.00 90.00 90.00°
Positions (direct):
Ac  0.055  0.500  0.000
Ac  0.055  0.000  0.500
Al  0.594  0.000  0.000
Cd  0.609  0.500  0.500
O  0.700  0.228  0.228
O  0.700  0.228  0.772
O  0.132  0.500  0.500
O  0.201  0.000  0.000
O  0.700  0.772  0.772
O  0.700  0.772  0.228

# 3
This record from the Alexandria database describes crystalline Ac2Al3CdPd4 at its relaxed geometry. The functional is PBE-GGA.

Calculated values
The calculation puts the total energy at -48.79 eV per formula unit.

Cell: 4.545 4.545 10.464 Å, 90.00 90.00 90.00°
Positions (direct):
Ac  0.500  0.000  0.242
Ac  0.000  0.500  0.758
Al  0.000  0.000  0.500
Al  0.500  0.000  0.891
Al  0.000  0.500  0.109
Cd  0.500  0.500  0.500
Pd  0.500  0.500  0.000
Pd  0.000  0.000  0.000
Pd  0.500  0.000  0.647
Pd  0.000  0.500  0.353

# 4
This record from the Alexandria database describes crystalline Ac3Al2CdPd9 at its relaxed geometry. The functional is PBE-GGA.

Calculated values
The calculation puts the total energy at -77.14 eV per formula unit.

Cell: 6.003 6.003 11.196 Å, 90.00 90.00 120.00°
Positions (direct):
Ac  0.333  0.667  0.711
Ac  0.000  0.000  0.000
Ac  0.667  0.333  0.289
Al  0.333  0.667  0.159
Al  0.667  0.333  0.841
Cd  0.000  0.000  0.500
Pd  0.842  0.158  0.699
Pd  0.842  0.685  0.699
Pd  0.315  0.158  0.699
Pd  0.685  0.842  0.301
Pd  0.158  0.315  0.301
Pd  0.158  0.842  0.301
Pd  0.500  0.000  0.000
Pd  0.000  0.500  0.000
Pd  0.500  0.500  0.000

# 5
This record from the Alexandria database describes crystalline Ac3AlCd2Pd6 at its relaxed geometry. The functional is PBE-GGA.

Calculated values
The calculation puts the total energy at -57.53 eV per formula unit.

Cell: 5.941 5.941 9.046 Å, 90.00 90.00 120.00°
Positions (direct):
Ac  0.333  0.667  0.628
Ac  0.667  0.333  0.372
Ac  0.000  0.000  0.000
Al  0.000  0.000  0.500
Cd  0.667  0.333  0.970
Cd  0.333  0.667  0.030
Pd  0.657  0.828  0.294
Pd  0.172  0.343  0.294
Pd  0.172  0.828  0.294
Pd  0.828  0.657  0.706
Pd  0.343  0.172  0.706
Pd  0.828  0.172  0.706

# 6
This record from the Alexandria database describes crystalline Ac2Al2CdPd5 at its relaxed geometry. The functional is PBE-GGA.

Calculated values
The calculation puts the total energy at -48.97 eV per formula unit.

Cell: 3.594 10.745 10.745 Å, 90.00 90.00 90.00°
Positions (direct):
Ac  0.000  0.680  0.180
Ac  0.000  0.320  0.820
Ac  0.000  0.180  0.320
Ac  0.000  0.820  0.680
Al  0.000  0.118  0.618
Al  0.000  0.882  0.382
Al  0.000  0.618  0.882
Al  0.000  0.382  0.118
Cd  0.000  0.000  0.000
Cd  0.000  0.500  0.500
Pd  0.500  0.218  0.061
Pd  0.500  0.782  0.939
Pd  0.500  0.061  0.782
Pd  0.500  0.718  0.439
Pd  0.500  0.939  0.218
Pd  0.500  0.282  0.561
Pd  0.500  0.561  0.718
Pd  0.500  0.439  0.282
Pd  0.500  0.500  0.000
Pd  0.500  0.000  0.500

# 7
This record from the Alexandria database describes crystalline AcAlCdPd2 at its relaxed geometry. The functional is PBE-GGA.

Calculated values
The calculation puts the total energy at -22.04 eV per formula unit.

Cell: 6.212 5.593 7.127 Å, 113.10 90.00 90.00°
Positions (direct):
Ac  0.233  0.750  0.500
Ac  0.767  0.250  0.500
Al  0.500  0.750  0.000
Al  0.500  0.250  0.000
Cd  0.000  0.000  0.000
Cd  0.000  0.500  0.000
Pd  0.677  0.859  0.718
Pd  0.677  0.641  0.282
Pd  0.323  0.359  0.718
Pd  0.323  0.141  0.282

# 8
This record from the Alexandria database describes crystalline AcPmAlCd at its relaxed geometry. The functional is PBE-GGA.

Calculated values
The calculation puts the total energy at -14.71 eV per formula unit.

Cell: 3.839 3.839 7.990 Å, 90.00 90.00 90.00°
Positions (direct):
Ac  0.500  0.500  0.123
Pm  0.500  0.500  0.595
Al  0.000  0.000  0.380
Cd  0.000  0.000  0.830

# 9
This record from the Alexandria database describes crystalline AcPmAlCd at its relaxed geometry. The functional is PBE-GGA.

Calculated values
The calculation puts the total energy at -14.57 eV per formula unit.

Cell: 5.528 5.528 5.528 Å, 60.00 60.00 60.00°
Positions (direct):
Ac  0.750  0.750  0.750
Cd  0.000  0.000  0.000
Al  0.500  0.500  0.500
Pm  0.250  0.250  0.250

# 10
This record from the Alexandria database describes crystalline AcPrAlCd at its relaxed geometry. The functional is PBE-GGA.

Calculated values
The calculation puts the total energy at -14.61 eV per formula unit.

Cell: 5.560 5.560 5.560 Å, 60.00 60.00 60.00°
Positions (direct):
Pr  0.750  0.750  0.750
Ac  0.250  0.250  0.250
Al  0.500  0.500  0.500
Cd  0.000  0.000  0.000

# 11
This record from the Alexandria database describes crystalline AcPrAlCd at its relaxed geometry. The functional is PBE-GGA.

Calculated values
The calculation puts the total energy at -14.71 eV per formula unit.

Cell: 3.855 3.855 8.084 Å, 90.00 90.00 90.00°
Positions (direct):
Ac  0.500  0.500  0.122
Pr  0.500  0.500  0.594
Al  0.000  0.000  0.375
Cd  0.000  0.000  0.837

# 12
This record from the Alexandria database describes crystalline AcAlCdPt3 at its relaxed geometry. The functional is PBE-GGA.

Calculated values
The calculation puts the total energy at -30.86 eV per formula unit.

Cell: 5.924 7.407 7.291 Å, 120.53 90.00 90.00°
Positions (direct):
Ac  0.750  0.293  0.585
Ac  0.250  0.707  0.415
Al  0.250  0.392  0.784
Al  0.750  0.608  0.216
Cd  0.250  0.979  0.958
Cd  0.750  0.021  0.042
Pt  0.250  0.203  0.405
Pt  0.000  0.305  0.000
Pt  0.500  0.695  0.000
Pt  0.500  0.305  0.000
Pt  0.000  0.695  0.000
Pt  0.750  0.797  0.595

# 13
This record from the Alexandria database describes crystalline Ac2Al12CdPt3 at its relaxed geometry. The functional is PBE-GGA.

Calculated values
The calculation puts the total energy at -74.62 eV per formula unit.

Cell: 8.047 8.047 8.047 Å, 69.75 69.75 69.75°
Positions (direct):
Ac  0.601  0.601  0.601
Ac  0.399  0.399  0.399
Al  0.267  0.267  0.868
Al  0.866  0.866  0.362
Al  0.362  0.866  0.866
Al  0.868  0.267  0.267
Al  0.866  0.362  0.866
Al  0.267  0.868  0.267
Al  0.733  0.733  0.132
Al  0.134  0.134  0.638
Al  0.638  0.134  0.134
Al  0.132  0.733  0.733
Al  0.134  0.638  0.134
Al  0.733  0.132  0.733
Cd  0.000  0.000  0.000
Pt  0.500  0.000  0.000
Pt  0.000  0.500  0.000
Pt  0.000  0.000  0.500

# 14
This record from the Alexandria database describes crystalline Ac2Al2CdPt5 at its relaxed geometry. The functional is PBE-GGA.

Calculated values
The calculation puts the total energy at -54.76 eV per formula unit.

Cell: 3.578 10.723 10.723 Å, 90.00 90.00 90.00°
Positions (direct):
Ac  0.000  0.681  0.181
Ac  0.000  0.319  0.819
Ac  0.000  0.181  0.319
Ac  0.000  0.819  0.681
Al  0.000  0.119  0.619
Al  0.000  0.881  0.381
Al  0.000  0.619  0.881
Al  0.000  0.381  0.119
Cd  0.000  0.000  0.000
Cd  0.000  0.500  0.500
Pt  0.500  0.218  0.059
Pt  0.500  0.782  0.941
Pt  0.500  0.059  0.782
Pt  0.500  0.718  0.441
Pt  0.500  0.941  0.218
Pt  0.500  0.282  0.559
Pt  0.500  0.559  0.718
Pt  0.500  0.441  0.282
Pt  0.500  0.500  0.000
Pt  0.500  0.000  0.500

# 15
This record from the Alexandria database describes crystalline Ac2Al4CdPt3 at its relaxed geometry. The functional is PBE-GGA.

Calculated values
The calculation puts the total energy at -51.15 eV per formula unit.

Cell: 4.462 4.462 10.744 Å, 90.00 90.00 90.00°
Positions (direct):
Ac  0.500  0.000  0.243
Ac  0.000  0.500  0.757
Al  0.500  0.500  0.000
Al  0.000  0.000  0.000
Al  0.500  0.000  0.637
Al  0.000  0.500  0.363
Cd  0.500  0.500  0.500
Pt  0.000  0.000  0.500
Pt  0.500  0.000  0.875
Pt  0.000  0.500  0.125

# 16
This record from the Alexandria database describes crystalline AcPuAlCd at its relaxed geometry. The functional is PBE-GGA.

Calculated values
The calculation puts the total energy at -23.39 eV per formula unit.

Cell: 5.485 5.485 5.485 Å, 60.00 60.00 60.00°
Each line ends with the local moment (μB).
Positions (direct):
Ac  0.000  0.000  0.000  0.11
Cd  0.750  0.750  0.750  0.03
Al  0.250  0.250  0.250  -0.02
Pu  0.500  0.500  0.500  5.57

# 17
This record from the Alexandria database describes crystalline AcScAlCd at its relaxed geometry. The functional is PBE-GGA.

Calculated values
The calculation puts the total energy at -15.88 eV per formula unit.

Cell: 5.347 5.347 5.347 Å, 60.00 60.00 60.00°
Positions (direct):
Sc  0.000  0.000  0.000
Ac  0.500  0.500  0.500
Al  0.250  0.250  0.250
Cd  0.750  0.750  0.750

# 18
This record from the Alexandria database describes crystalline AcTbAlCd at its relaxed geometry. The functional is PBE-GGA.

Calculated values
The calculation puts the total energy at -14.41 eV per formula unit.

Cell: 5.482 5.482 5.482 Å, 60.00 60.00 60.00°
Positions (direct):
Ac  0.000  0.000  0.000
Tb  0.500  0.500  0.500
Al  0.250  0.250  0.250
Cd  0.750  0.750  0.750

# 19
This record from the Alexandria database describes crystalline Ac4AlTlCd2 at its relaxed geometry. The functional is PBE-GGA.

Calculated values
The calculation puts the total energy at -26.69 eV per formula unit.

Cell: 5.741 5.741 9.972 Å, 73.27 73.27 60.00°
Positions (direct):
Ac  0.378  0.378  0.866
Ac  0.872  0.872  0.384
Ac  0.128  0.128  0.616
Ac  0.622  0.622  0.134
Al  0.500  0.500  0.500
Tl  0.000  0.000  0.000
Cd  0.750  0.750  0.751
Cd  0.250  0.250  0.249

# 20
This record from the Alexandria database describes crystalline Ac2Al3ZnCd4 at its relaxed geometry. The functional is PBE-GGA.

Calculated values
The calculation puts the total energy at -27.23 eV per formula unit.

Cell: 4.628 4.628 11.420 Å, 90.00 90.00 90.00°
Positions (direct):
Ac  0.500  0.000  0.253
Ac  0.000  0.500  0.747
Al  0.000  0.000  0.500
Al  0.500  0.000  0.863
Al  0.000  0.500  0.137
Zn  0.500  0.500  0.500
Cd  0.500  0.500  0.000
Cd  0.000  0.000  0.000
Cd  0.500  0.000  0.629
Cd  0.000  0.500  0.371

# 21
This record from the Alexandria database describes crystalline Ac3Al2ZnCd6 at its relaxed geometry. The functional is PBE-GGA.

Calculated values
The calculation puts the total energy at -27.32 eV per formula unit.

Cell: 6.821 6.821 8.585 Å, 90.00 90.00 120.00°
Positions (direct):
Ac  0.333  0.667  0.719
Ac  0.667  0.333  0.281
Ac  0.000  0.000  0.000
Al  0.667  0.333  0.905
Al  0.333  0.667  0.095
Zn  0.000  0.000  0.500
Cd  0.630  0.815  0.342
Cd  0.185  0.370  0.342
Cd  0.185  0.815  0.342
Cd  0.815  0.630  0.658
Cd  0.370  0.185  0.658
Cd  0.815  0.185  0.658

# 22
This record from the Alexandria database describes crystalline Ac2Al4Zn3Cd at its relaxed geometry. The functional is PBE-GGA.

Calculated values
The calculation puts the total energy at -31.56 eV per formula unit.

Cell: 4.475 4.475 11.048 Å, 90.00 90.00 90.00°
Positions (direct):
Ac  0.500  0.000  0.244
Ac  0.000  0.500  0.756
Al  0.500  0.500  0.000
Al  0.000  0.000  0.000
Al  0.500  0.000  0.639
Al  0.000  0.500  0.361
Zn  0.000  0.000  0.500
Zn  0.500  0.000  0.871
Zn  0.000  0.500  0.129
Cd  0.500  0.500  0.500

It is found that the total magnetic moment values, taken in the order of the records, are 0.0, 0.0, 0.0, 0.0, 0.0, 0.0, 0.0, 0.0, 0.0, 0.0, 0.0, 0.0, 0.0, 0.0, 0.0, 6.3, 0.0, 0.0, 0.0, 0.0, 0.0, 0.0 μB/f.u..